Record 1
Density functional theory data (PBE-GGA) for an optimized crystal structure of Li4MgGa2Au.

Cell lengths 4.4649, 4.4649, 6.3854 Å; angles 90.00, 90.00, 90.00 degrees
Last column: nearest neighbours and their distance in Å.
Space group P-4m2 (No. 115)
Unique sites:
Li (0.0000, 0.0000, 0.0000) x1  4 Ga 2.79, 4 Li 2.83
Li (0.0000, 0.5000, 0.7266) x2  4 Li 2.66-2.83, 2 Au 2.66, 2 Mg 2.83, 1 Ga 2.96
Li (0.5000, 0.5000, 0.5000) x1  4 Li 2.66, 4 Ga 2.70
Mg (0.5000, 0.5000, 0.0000) x1  4 Ga 2.79, 4 Li 2.83
Ga (0.0000, 0.5000, 0.2625) x2  5 Li 2.70-2.96, 2 Au 2.70, 2 Mg 2.79
Au (0.0000, 0.0000, 0.5000) x1  4 Li 2.66, 4 Ga 2.70


Record 2
Density functional theory data (PBE-GGA) for an optimized crystal structure of Li2Mg3GaAu2.

Cell lengths 4.5602, 4.5602, 6.5018 Å; angles 90.00, 90.00, 90.00 degrees
Last column: nearest neighbours and their distance in Å.
Space group P-4m2 (No. 115)
Unique sites:
Li (0.0000, 0.5000, 0.2343) x2  2 Ga 2.74, 6 Mg 2.74-2.86
Mg (0.0000, 0.0000, 0.0000) x1  4 Li 2.74, 4 Au 2.79
Mg (0.0000, 0.0000, 0.5000) x1  4 Au 2.82, 4 Li 2.86
Mg (0.5000, 0.5000, 0.5000) x1  4 Au 2.82, 4 Li 2.86
Ga (0.5000, 0.5000, 0.0000) x1  4 Li 2.74, 4 Au 2.79
Au (0.0000, 0.5000, 0.7540) x2  2 Ga 2.79, 6 Mg 2.79-2.82


Record 3
Density functional theory data (PBE-GGA) for an optimized crystal structure of Li4Mg2GaAu.

Cell lengths 4.5611, 4.5611, 6.4396 Å; angles 90.00, 90.00, 90.00 degrees
Last column: nearest neighbours and their distance in Å.
Space group P-4m2 (No. 115)
Unique sites:
Li (0.0000, 0.0000, 0.0000) x1  4 Mg 2.78, 4 Li 2.79
Li (0.0000, 0.5000, 0.2494) x2  4 Li 2.79, 2 Au 2.79, 2 Ga 2.79
Li (0.5000, 0.5000, 0.5000) x1  4 Li 2.79, 4 Mg 2.80
Mg (0.0000, 0.5000, 0.7524) x2  2 Au 2.78, 4 Li 2.78-2.80, 2 Ga 2.80
Ga (0.0000, 0.0000, 0.5000) x1  4 Li 2.79, 4 Mg 2.80
Au (0.5000, 0.5000, 0.0000) x1  4 Mg 2.78, 4 Li 2.79


Record 4
Density functional theory data (PBE-GGA) for an optimized crystal structure of Li2Mg2Ga2PdAu.

Cell lengths 4.4623, 4.4623, 6.3350 Å; angles 90.00, 90.00, 90.00 degrees
Last column: nearest neighbours and their distance in Å.
Space group P-4m2 (No. 115)
Unique sites:
Li (0.0000, 0.0000, 0.0000) x1  4 Ga 2.69, 4 Mg 2.71
Li (0.5000, 0.5000, 0.5000) x1  4 Mg 2.76, 4 Ga 2.78
Mg (0.0000, 0.5000, 0.2432) x2  4 Li 2.71-2.76, 2 Pd 2.71, 2 Au 2.76
Ga (0.0000, 0.5000, 0.7623) x2  4 Li 2.69-2.78, 2 Pd 2.69, 2 Au 2.78
Pd (0.5000, 0.5000, 0.0000) x1  4 Ga 2.69, 4 Mg 2.71
Au (0.0000, 0.0000, 0.5000) x1  4 Mg 2.76, 4 Ga 2.78


| no. | VASP energy (eV per atom) |
| --- | --- |
| 1 | -2.676 |
| 2 | -2.730 |
| 3 | -2.465 |
| 4 | -3.201 |